Record 1
Below is KSrSmCl6 after structural relaxation, with properties calculated at the GGA-PBE level.

```
data_KSrSmCl6
_space_group_name_H-M_alt 'P -3 1 c'
_space_group_IT_number 163
_space_group_name_Hall '-P 3 2c'
_cell_length_a 7.4313
_cell_length_b 7.4313
_cell_length_c 13.2591
_cell_angle_alpha 90.00
_cell_angle_beta 90.00
_cell_angle_gamma 120.00
loop_
_atom_site_label
_atom_site_fract_x
_atom_site_fract_y
_atom_site_fract_z
K1 0.0000 0.0000 0.0000
Sr1 0.3333 0.6667 0.2500
Sm1 0.3333 0.6667 0.7500
Cl1 0.0196 0.3735 0.6353
```

Record 2
# GGA-PBE Re2PSe, relaxed
# energy above the most stable polymorph in this dataset = 242 meV per atom
data_Re2PSe
_space_group_name_H-M_alt 'R -3 m'
_space_group_IT_number 166
_space_group_name_Hall '-R 3 2"'
_cell_length_a 2.9550
_cell_length_b 2.9550
_cell_length_c 23.3678
_cell_angle_alpha 90.00
_cell_angle_beta 90.00
_cell_angle_gamma 120.00
loop_
_atom_site_label
_atom_site_fract_x
_atom_site_fract_y
_atom_site_fract_z
Re1 0.0000 0.0000 0.2442
P1 0.0000 0.0000 0.5000
Se1 0.0000 0.0000 0.0000

no.,calculated density (g/cm³),calculated volume (A^3/atom),E_form (uncorrected) (eV/atom)
1,2.565,35.23,-2.29
2,13.598,14.73,0.27